# 1
DFT (meta-GGA SCAN) results for a PBEsol-optimized structure of CoCuNi2.

a = 2.460 Å, b = 2.460 Å, c = 6.965 Å
α = 90.00°, β = 90.00°, γ = 90.00°
Fractional positions:
Ni: 0.000 0.000 0.758
Ni: 0.000 0.000 0.242
Co: 0.500 0.500 0.000
Cu: 0.500 0.500 0.500

Results
- Space-group type: P4/mmm, No. 123
- Fermi-level density of states: 2.80 states/eV/cell
- Calculated formation energy: 0.1 eV per formula unit

=====

# 2
DFT (meta-GGA SCAN) results for a PBEsol-optimized structure of BeCuBr.

a = 4.103 Å, b = 4.103 Å, c = 4.103 Å
α = 60.00°, β = 60.00°, γ = 60.00°
Fractional positions:
Cu: 0.500 0.500 0.500
Be: 0.250 0.250 0.250
Br: 0.000 0.000 0.000

Results
- ΔE_f (raw): 0.773 eV/atom
- Space-group type: F-43m, No. 216
- Fermi-level density of states: 0.02 states/eV/cell
- Offset from the most stable computed form: 0.555 eV per atom

=====

# 3
DFT (meta-GGA SCAN) results for a PBEsol-optimized structure of AsIr2Au.

a = 2.877 Å, b = 2.877 Å, c = 8.620 Å
α = 80.39°, β = 80.39°, γ = 60.00°
Fractional positions:
Ir: 0.758 0.758 0.725
Ir: 0.242 0.242 0.275
Au: 0.000 0.000 0.000
As: 0.500 0.500 0.500

Results
- Space-group type: R-3m, No. 166
- Fermi-level density of states: 2.64 states/eV/cell
- Calculated formation energy: 0.8 eV per formula unit

=====

Which of these has the lowest Fermi-level density of states? BeCuBr

=====

Number 1 is which compound? CoCuNi2

=====

Which value of Fermi-level density of states does entry 1 give? 2.80 states/eV/cell

=====

What is the Fermi-level density of states in the first record? 2.80 states/eV/cell